Pm4PrMg: relaxed, PBE-GGA.

**Calculated formation energy**: 50 meV per atom
**Energy above the most stable polymorph in this dataset**: 73 meV/atom
**Total moment**: 0.00 μB/f.u.

Unit cell a=6.503 b=6.976 c=9.090 alpha=90.00 beta=104.70 gamma=90.00
Space group P2_1/m (No. 11)
Asymmetric unit:
Pm 0.105 0.001 0.301 (multiplicity 4)
Pm 0.308 0.250 0.003 (multiplicity 2)
Pm 0.379 0.250 0.650 (multiplicity 2)
Pr 0.367 0.750 0.646 (multiplicity 2)
Mg 0.197 0.750 0.002 (multiplicity 2)


CsHgSbI2: relaxed, PBE-GGA.

**ΔE_f (raw)**: 0.219 eV/atom
**Energy above the most stable polymorph in this dataset**: 783 meV/atom
**Total moment**: 3.81 μB/f.u.

Unit cell a=7.393 b=7.393 c=8.541 alpha=90.00 beta=90.00 gamma=90.00
Space group P4/mmm (No. 123)
Asymmetric unit:
Cs 0.000 0.000 0.000 (multiplicity 1)
Hg 0.500 0.500 0.500 (multiplicity 1)
Sb 0.000 0.000 0.500 (multiplicity 1)
I 0.000 0.500 0.000 (multiplicity 2)


Co2Tc: relaxed, PBE-GGA.

**Calculated formation energy**: 219 meV per atom
**Energy above the most stable polymorph in this dataset**: 226 meV/atom
**Total moment**: 2.61 μB/f.u.

Unit cell a=8.680 b=4.110 c=5.057 alpha=90.00 beta=125.08 gamma=90.00
Space group C2/m (No. 12)
Asymmetric unit:
Co 0.000 0.000 0.000 (multiplicity 2)
Co 0.000 0.000 0.500 (multiplicity 2)
Co 0.180 0.500 0.417 (multiplicity 4)
Tc 0.157 0.500 0.893 (multiplicity 4)